A plane-wave DFT calculation with PBE was carried out for Li5ThAu7 after structural relaxation.

abc: 7.046 7.046 7.046
angles: 135.83 98.03 98.23
Fractional coordinates of all 13 atoms:
1 Li 0.000 0.000 0.000
2 Li 0.238 0.240 0.505
3 Li 0.238 0.732 0.998
4 Li 0.734 0.240 0.002
5 Li 0.734 0.732 0.495
6 Th 0.250 0.750 0.500
7 Au 0.022 0.226 0.796
8 Au 0.431 0.226 0.204
9 Au 0.463 0.463 0.000
10 Au 0.583 0.744 0.839
11 Au 0.585 0.085 0.500
12 Au 0.905 0.744 0.161
13 Au 0.917 0.417 0.500

Summary:
As for the total energy: -3.574 eV per atom. The calculation puts the density of states at the Fermi level at 4.2 states/eV/cell. For the formation energy from the elements, the calculation gives -0.502 eV per atom.